Record 1
The following is a DFT calculation (PBE) of crystalline Tb7Pm3 at its relaxed geometry.

```
20
Lattice="10.8377 0.0000 0.0000 -5.4189 9.3858 0.0000 0.0000 0.0000 6.5008" Properties=species:S:1:pos:R:3 pbc="T T T"
Tb -2.2294 4.9701 0.0000
Tb 0.0000 2.2549 1.1028
Tb -3.4661 8.2583 1.1028
Tb 1.9528 1.1274 4.3532
Tb 0.0000 6.2572 1.9580
Tb 2.2293 4.9701 0.0000
Tb 0.0000 8.8314 0.0000
Tb 5.4189 0.5544 3.2504
Tb 3.1895 4.4157 3.2504
Tb 5.4189 3.1286 5.2084
Tb 3.4661 8.2583 1.1028
Tb 8.8849 1.1274 4.3532
Tb 5.4189 7.1309 4.3532
Tb 7.6482 4.4157 3.2504
Pm 0.0000 3.8409 4.2303
Pm -2.0925 7.4653 4.2303
Pm 3.3263 1.9205 0.9799
Pm 2.0925 7.4653 4.2303
Pm 7.5114 1.9205 0.9799
Pm 5.4189 5.5448 0.9799
```

crystal system: hexagonal
ΔH_f (0 K): 1.80 eV per formula unit
calculated total energy: -4.486 eV per atom
offset from the most stable computed form: 166 meV/atom
D(E_F): 33.8 states/eV per cell

***

Record 2
The following is a DFT calculation (PBE) of crystalline LaAsCSe2 at its relaxed geometry.

```
5
Lattice="4.8626 0.0000 0.0000 0.0000 4.8626 0.0000 0.0000 0.0000 4.2484" Properties=species:S:1:pos:R:3 pbc="T T T"
La 0.0000 0.0000 0.0000
As 2.4313 2.4313 0.0000
C 2.4313 2.4313 2.1242
Se 0.0000 2.4313 2.1242
Se 2.4313 0.0000 2.1242
```

crystal system: tetragonal
calculated total energy: -5.096 eV per atom
offset from the most stable computed form: 0 meV/atom
ΔE_f (raw): 0.29 eV per formula unit
D(E_F): 2.8 states/eV per cell